CeSm2Pd after structural relaxation. Source: Alexandria via LeMat-Bulk, functional GGA-PBE.

Computed properties:
The energy of formation is -0.63 eV per formula unit.

Cell and atoms, written as CIF:
```
data_CeSm2Pd
_chemical_formula_sum 'Ce1 Sm2 Pd1'
_cell_length_a 5.376
_cell_length_b 5.376
_cell_length_c 3.545
_cell_angle_alpha 90.00
_cell_angle_beta 90.00
_cell_angle_gamma 90.00
_symmetry_space_group_name_H-M 'P 4/m m m'
_symmetry_Int_Tables_number 123
_symmetry_space_group_name_Hall '-P 4 2'
loop_
_atom_site_label
_atom_site_type_symbol
_atom_site_fract_x
_atom_site_fract_y
_atom_site_fract_z
Ce1 Ce 0.000 0.000 0.000
Sm1 Sm 0.000 0.500 0.500
Pd1 Pd 0.500 0.500 0.000
```